Record 1
Computed, not measured: crystalline Ho3Si6Ni20 at its relaxed geometry at the PBE level of DFT.

The structure in POSCAR format:
```
Ho3Si6Ni20
1.0
-1.1105 7.7148 -2.0943
-7.0965 3.5801 1.3999
-0.5982 5.6827 5.6997
Ni Si Ho
20 6 3
direct
0.1552 0.6149 0.6149 Ni
0.3533 0.6467 0.0000 Ni
0.0000 0.3533 0.0000 Ni
0.8448 0.3851 0.3851 Ni
0.6467 0.3533 0.0000 Ni
0.0000 0.6467 0.3533 Ni
0.0000 0.6467 0.0000 Ni
0.6467 0.0000 0.3533 Ni
0.3851 0.8448 0.3851 Ni
0.6467 0.0000 0.0000 Ni
0.3851 0.3851 0.8448 Ni
0.3533 0.0000 0.0000 Ni
0.0000 0.3533 0.6467 Ni
0.6149 0.1552 0.6149 Ni
0.0000 0.0000 0.6467 Ni
0.3533 0.0000 0.6467 Ni
0.3851 0.3851 0.3851 Ni
0.6149 0.6149 0.6149 Ni
0.6149 0.6149 0.1552 Ni
0.0000 0.0000 0.3533 Ni
0.7335 0.2665 0.7335 Si
0.2665 0.2665 0.7335 Si
0.2665 0.7335 0.7335 Si
0.7335 0.2665 0.2665 Si
0.2665 0.7335 0.2665 Si
0.7335 0.7335 0.2665 Si
0.2500 0.2500 0.2500 Ho
0.7500 0.7500 0.7500 Ho
0.0000 0.0000 0.0000 Ho
```

Output
ρ = 8.21 g/cm³
E = -6.09 eV/atom
SG = Fm-3m (225)
Magnetic moment = 0.00 μB per atom
Raw formation energy = -504.8 meV per atom

Record 2
Computed, not measured: crystalline Ho2Si4Ni5 at its relaxed geometry at the PBE level of DFT.

The structure in POSCAR format:
```
Ho2Si4Ni5
1.0
-5.1762 -0.5606 -1.1260
-1.6416 -3.9976 -3.0634
-3.3490 -4.1094 4.8415
Ni Si Ho
5 4 2
direct
0.7500 0.5000 0.5000 Ni
0.2500 0.5000 0.5000 Ni
0.5000 0.5000 0.0000 Ni
0.0000 0.5000 0.0000 Ni
0.5000 0.0000 0.0000 Ni
0.5155 0.7032 0.2658 Si
0.4845 0.2968 0.7342 Si
0.2187 0.2968 0.2658 Si
0.7813 0.7032 0.7342 Si
0.1396 0.0000 0.7208 Ho
0.8604 0.0000 0.2792 Ho
```

Output
ρ = 7.51 g/cm³
E = -6.13 eV/atom
SG = Fmmm (69)
Magnetic moment = 0.00 μB per atom
Raw formation energy = -702.7 meV per atom

Record 3
Computed, not measured: crystalline Ho2SiNi at its relaxed geometry at the PBE level of DFT.

The structure in POSCAR format:
```
Ho2SiNi
1.0
-3.6395 0.7660 3.1296
0.5664 -1.0958 4.7016
0.3393 3.5529 3.2998
Ho Si Ni
2 1 1
direct
0.7500 0.7500 0.7500 Ho
0.2500 0.2500 0.2500 Ho
0.5000 0.5000 0.5000 Si
0.0000 0.0000 0.0000 Ni
```

Output
ρ = 8.52 g/cm³
E = -5.58 eV/atom
SG = Fm-3m (225)
Magnetic moment = 0.00 μB per atom
Raw formation energy = -487.6 meV per atom

Record 4
Computed, not measured: crystalline Ho2Si2Ni5 at its relaxed geometry at the PBE level of DFT.

The structure in POSCAR format:
```
Ho2Si2Ni5
1.0
-0.2778 -0.8511 3.8878
-2.8341 -2.6938 -0.7922
5.8023 -5.8500 -0.8661
Ho Ni Si
2 5 2
direct
0.0000 0.0000 0.5000 Ho
0.0000 0.0000 0.0000 Ho
0.5000 0.0000 0.2764 Ni
0.5000 0.5000 0.5000 Ni
0.0000 0.5000 0.2764 Ni
0.5000 0.0000 0.7236 Ni
0.0000 0.5000 0.7236 Ni
0.5000 0.5000 0.8520 Si
0.5000 0.5000 0.1480 Si
```

Output
ρ = 8.56 g/cm³
E = -6.05 eV/atom
SG = P4/mmm (123)
Magnetic moment = 0.00 μB per atom
Raw formation energy = -612.4 meV per atom